(1)
# CePu3 (PBE, optimized geometry)
data_CePu3
_chemical_formula_sum 'Ce1 Pu3'
_space_group_name_H-M_alt 'P 4 m m'
_space_group_IT_number 99
_cell_length_a 4.847
_cell_length_b 4.847
_cell_length_c 3.700
_cell_angle_alpha 90.00
_cell_angle_beta 90.00
_cell_angle_gamma 90.00
loop_
_space_group_symop_operation_xyz
'x,y,z'
'-y,x,z'
'-x,-y,z'
'y,-x,z'
'-x,y,z'
'y,x,z'
'x,-y,z'
'-y,-x,z'
loop_
_atom_site_label
_atom_site_fract_x
_atom_site_fract_y
_atom_site_fract_z
Ce1 0.000 0.000 0.000
Pu1 0.000 0.500 0.632
Pu2 0.500 0.500 0.338
# ΔE_f, eV per atom: 0.122
# Crystal system: tetragonal
# Polymorph energy (0 for the lowest one), eV per atom: 0.003

(2)
# Ce5Pu3 (PBE, optimized geometry)
data_Ce5Pu3
_chemical_formula_sum 'Ce5 Pu3'
_space_group_name_H-M_alt 'P 1 2 1'
_space_group_IT_number 3
_cell_length_a 3.391
_cell_length_b 9.047
_cell_length_c 6.560
_cell_angle_alpha 90.00
_cell_angle_beta 92.07
_cell_angle_gamma 90.00
loop_
_space_group_symop_operation_xyz
'x,y,z'
'-x,y,-z'
loop_
_atom_site_label
_atom_site_fract_x
_atom_site_fract_y
_atom_site_fract_z
Ce1 0.000 0.000 0.000
Ce2 0.000 0.012 0.500
Ce3 0.000 0.486 0.500
Ce4 0.435 0.748 0.251
Pu1 0.000 0.510 0.000
Pu2 0.400 0.248 0.755
# ΔE_f, eV per atom: 0.111
# Crystal system: monoclinic

(3)
# Ce3Pu (PBE, optimized geometry)
data_Ce3Pu
_chemical_formula_sum 'Ce6 Pu2'
_space_group_name_H-M_alt 'I m m 2'
_space_group_IT_number 44
_cell_length_a 3.301
_cell_length_b 11.276
_cell_length_c 5.568
_cell_angle_alpha 90.00
_cell_angle_beta 90.00
_cell_angle_gamma 90.00
loop_
_space_group_symop_operation_xyz
'x,y,z'
'-x,-y,z'
'-x,y,z'
'x,-y,z'
'x+1/2,y+1/2,z+1/2'
'-x+1/2,-y+1/2,z+1/2'
'-x+1/2,y+1/2,z+1/2'
'x+1/2,-y+1/2,z+1/2'
loop_
_atom_site_label
_atom_site_fract_x
_atom_site_fract_y
_atom_site_fract_z
Ce1 0.000 0.000 0.000
Ce2 0.000 0.228 0.578
Pu1 0.000 0.500 0.922
# ΔE_f, eV per atom: 0.101
# Crystal system: orthorhombic
# Polymorph energy (0 for the lowest one), eV per atom: 0.068

(4)
# Ce4Pu (PBE, optimized geometry)
data_Ce4Pu
_chemical_formula_sum 'Ce4 Pu1'
_space_group_name_H-M_alt 'P m -3 m'
_space_group_IT_number 221
_space_group_name_Hall '-P 4 2 3'
_cell_length_a 5.234
_cell_length_b 5.234
_cell_length_c 5.234
_cell_angle_alpha 90.00
_cell_angle_beta 90.00
_cell_angle_gamma 90.00
loop_
_atom_site_label
_atom_site_fract_x
_atom_site_fract_y
_atom_site_fract_z
Ce1 0.000 0.000 0.000
Ce2 0.000 0.500 0.500
Pu1 0.500 0.500 0.500
# ΔE_f, eV per atom: 0.233
# Crystal system: cubic
# Polymorph energy (0 for the lowest one), eV per atom: 0.250

(5)
# Ce3Pu (PBE, optimized geometry)
data_Ce3Pu
_chemical_formula_sum 'Ce6 Pu2'
_space_group_name_H-M_alt 'I 4/m m m'
_space_group_IT_number 139
_space_group_name_Hall '-I 4 2'
_cell_length_a 4.679
_cell_length_b 4.679
_cell_length_c 9.303
_cell_angle_alpha 90.00
_cell_angle_beta 90.00
_cell_angle_gamma 90.00
loop_
_atom_site_label
_atom_site_fract_x
_atom_site_fract_y
_atom_site_fract_z
Ce1 0.000 0.000 0.000
Ce2 0.000 0.500 0.250
Pu1 0.000 0.000 0.500
# ΔE_f, eV per atom: 0.036
# Crystal system: tetragonal
# Polymorph energy (0 for the lowest one), eV per atom: 0.004

(6)
# CePu5 (PBE, optimized geometry)
data_CePu5
_chemical_formula_sum 'Ce2 Pu10'
_space_group_name_H-M_alt 'C m m m'
_space_group_IT_number 65
_space_group_name_Hall '-C 2 2'
_cell_length_a 5.224
_cell_length_b 17.336
_cell_length_c 3.344
_cell_angle_alpha 90.00
_cell_angle_beta 90.00
_cell_angle_gamma 90.00
loop_
_atom_site_label
_atom_site_fract_x
_atom_site_fract_y
_atom_site_fract_z
Ce1 0.000 0.000 0.000
Pu1 0.000 0.186 0.500
Pu2 0.000 0.361 0.000
Pu3 0.000 0.500 0.500
# ΔE_f, eV per atom: 0.245
# Crystal system: orthorhombic